[1]
Material: Li2TbHoAu4
Method: DFT, GGA-PBE
State: optimized geometry

Lattice parameters (Å, degrees): 4.9106 4.9106 8.2688 72.73 72.73 60.00
Last column: nearest neighbours and their distance in Å.
Element x y z (fractional)
Ho 0.5000 0.5000 0.5000  8 Au 2.97
Li 0.7501 0.7501 0.7498  8 Au 2.82-3.03
Li 0.2499 0.2499 0.2502  8 Au 2.82-3.03
Au 0.6273 0.6273 0.1181  4 Li 2.86-3.02, 1 Ho 2.97, 3 Tb 2.98
Au 0.1287 0.1287 0.6138  4 Li 2.82-3.03, 3 Ho 2.97, 1 Tb 3.00
Au 0.3727 0.3727 0.8819  4 Li 2.86-3.02, 1 Ho 2.97, 3 Tb 2.98
Au 0.8713 0.8713 0.3862  4 Li 2.82-3.03, 3 Ho 2.97, 1 Tb 3.00
Tb 0.0000 0.0000 0.0000  8 Au 2.98-3.00

Computed properties:
- magnetization (μB per formula unit) = 0.00
- space-group type = R-3m, No. 166
- density of states at the Fermi level (states/eV per atom) = 0.57
- uncorrected energy (eV/atom) = -3.983

[2]
Material: Ac2CeHg7
Method: DFT, GGA-PBE
State: optimized geometry

Lattice parameters (Å, degrees): 4.9914 4.9914 14.7518 90.00 90.00 120.00
Last column: nearest neighbours and their distance in Å.
Element x y z (fractional)
Hg 0.0000 0.0000 0.2277  1 Ce 3.18, 3 Hg 3.32, 3 Ac 3.34
Hg 0.0000 0.0000 0.7901  3 Hg 3.14, 3 Ac 3.24, 1 Ce 3.28
Hg 0.3333 0.6667 0.4608  3 Hg 3.29, 4 Ac 3.37-3.38
Hg 0.6667 0.3333 0.8739  6 Hg 3.02-3.14
Hg 0.6667 0.3333 0.1156  3 Ce 3.26, 4 Hg 3.32-3.57, 1 Ac 3.34
Hg 0.6667 0.3333 0.5689  3 Hg 3.29, 4 Ac 3.35-3.39
Hg 0.3333 0.6667 0.9355  3 Hg 3.02, 3 Ce 3.10
Ce 0.0000 0.0000 0.0122  8 Hg 3.10-3.28
Ac 0.3333 0.6667 0.6899  8 Hg 3.24-3.62
Ac 0.6667 0.3333 0.3420  8 Hg 3.34-3.37

Computed properties:
- magnetization (μB per formula unit) = 1.03
- space-group type = P3m1, No. 156
- density of states at the Fermi level (states/eV per atom) = 1.36
- uncorrected energy (eV/atom) = -1.875

[3]
Material: MgCrIn2
Method: DFT, GGA-PBE
State: optimized geometry

Lattice parameters (Å, degrees): 3.7668 3.7668 6.0494 90.00 90.00 90.00
Last column: nearest neighbours and their distance in Å.
Element x y z (fractional)
Mg 0.0000 0.0000 0.5063  6 In 2.86-3.19, 4 Cr 3.06
In 0.0000 0.0000 0.9782  2 Mg 2.86-3.19, 4 Cr 2.98, 4 In 3.16
In 0.5000 0.5000 0.2597  2 Cr 3.00-3.05, 4 Mg 3.05, 4 In 3.16
Cr 0.5000 0.5000 0.7558  6 In 2.98-3.05, 4 Mg 3.06

Computed properties:
- magnetization (μB per formula unit) = 3.60
- space-group type = P4mm, No. 99
- density of states at the Fermi level (states/eV per atom) = 0.55
- uncorrected energy (eV/atom) = -3.938

[4]
Material: BaLi2Nd2Ge2
Method: DFT, GGA-PBE
State: optimized geometry

Lattice parameters (Å, degrees): 4.7570 4.7570 10.1063 76.39 76.39 60.00
Last column: nearest neighbours and their distance in Å.
Element x y z (fractional)
Ba 0.0000 0.0000 0.0000  6 Li 3.68, 6 Ge 3.69, 2 Nd 3.81
Nd 0.1306 0.1306 0.6083  3 Ge 3.06, 3 Li 3.07
Nd 0.8694 0.8694 0.3917  3 Ge 3.06, 3 Li 3.07
Ge 0.2488 0.2488 0.2536  3 Li 2.75, 3 Nd 3.06
Ge 0.7512 0.7512 0.7464  3 Li 2.75, 3 Nd 3.06
Li 0.5829 0.5829 0.2513  3 Ge 2.75, 3 Nd 3.07
Li 0.4171 0.4171 0.7487  3 Ge 2.75, 3 Nd 3.07

Computed properties:
- magnetization (μB per formula unit) = 0.00
- space-group type = R-3m, No. 166
- density of states at the Fermi level (states/eV per atom) = 0.43
- uncorrected energy (eV/atom) = -3.977

[5]
Material: Er8MgTl5
Method: DFT, GGA-PBE
State: optimized geometry

Lattice parameters (Å, degrees): 8.0423 8.0423 8.0423 109.39 109.64 109.39
Last column: nearest neighbours and their distance in Å.
Element x y z (fractional)
Tl 0.5000 0.0000 0.5000  8 Er 3.11-3.18
Tl 0.7607 0.6183 0.6376  8 Er 3.08-3.38
Tl 0.3624 0.1230 0.9806  8 Er 3.08-3.38
Tl 0.0194 0.3817 0.1424  8 Er 3.08-3.38
Tl 0.8576 0.8770 0.2393  8 Er 3.08-3.38
Mg 0.2500 0.5000 0.7500  8 Er 3.18-3.48
Er 0.7500 0.2364 0.3510  5 Tl 3.08-3.31
Er 0.1146 0.7636 0.5135  5 Tl 3.08-3.31
Er 0.6236 0.9003 0.8586  5 Tl 3.11-3.38, 1 Mg 3.18, 1 Er 3.36
Er 0.9583 0.0997 0.7233  5 Tl 3.11-3.38, 1 Mg 3.18, 1 Er 3.36
Er 0.1414 0.7650 0.0417  5 Tl 3.11-3.38, 1 Mg 3.18, 1 Er 3.36
Er 0.2767 0.2350 0.3764  5 Tl 3.11-3.38, 1 Mg 3.18, 1 Er 3.36
Er 0.6490 0.3990 0.8854  5 Tl 3.08-3.31
Er 0.4865 0.6010 0.2500  5 Tl 3.08-3.31

Computed properties:
- magnetization (μB per formula unit) = 0.00
- space-group type = I-4, No. 82
- density of states at the Fermi level (states/eV per atom) = 1.11
- uncorrected energy (eV/atom) = -3.724

[6]
Material: Bi2BPd2Pt4
Method: DFT, GGA-PBE
State: optimized geometry

Lattice parameters (Å, degrees): 6.1456 6.1456 6.1456 84.39 123.29 123.29
Last column: nearest neighbours and their distance in Å.
Element x y z (fractional)
Pd 0.0000 0.2529 0.2529  1 B 2.30
Pd 0.0000 0.7471 0.7471  1 B 2.30
Pt 0.0000 0.2567 0.7433  1 B 2.12
Pt 0.4867 0.7433 0.7433  1 B 2.12
Pt 0.0000 0.7433 0.2567  1 B 2.12
Pt 0.5133 0.2567 0.2567  1 B 2.12
Bi 0.5000 0.7500 0.2500  4 Pd 2.92, 8 Pt 3.07
Bi 0.5000 0.2500 0.7500  4 Pd 2.92, 8 Pt 3.07
B 0.0000 0.0000 0.0000  4 Pt 2.12, 2 Pd 2.30

Computed properties:
- magnetization (μB per formula unit) = 0.00
- space-group type = I4/mmm, No. 139
- density of states at the Fermi level (states/eV per atom) = 0.65
- uncorrected energy (eV/atom) = -5.634

[7]
Material: SrSiHg
Method: DFT, GGA-PBE
State: optimized geometry

Lattice parameters (Å, degrees): 8.6806 3.9281 6.3280 128.36 94.42 103.07
Last column: nearest neighbours and their distance in Å.
Element x y z (fractional)
Hg 0.6201 0.6687 0.3074  1 Si 2.69, 2 Hg 2.88
Hg 0.8008 0.3448 0.8942  1 Si 2.69, 2 Hg 2.88
Si 0.2893 0.3822 0.1869  2 Si 2.39
Si 0.1316 0.6312 0.0148  2 Si 2.39
Sr 0.9869 0.5233 0.4794  5 Si 3.25-3.50, 6 Hg 3.49-3.56
Sr 0.4341 0.4901 0.7223  5 Si 3.25-3.50, 6 Hg 3.49-3.56

Computed properties:
- formation energy without anion corrections (eV/atom) = -0.43
- magnetization (μB per formula unit) = 0.00
- space-group type = C2/m, No. 12
- density of states at the Fermi level (states/eV per atom) = 0.37

[8]
Material: PuU2TaC4
Method: DFT, GGA-PBE
State: optimized geometry

Lattice parameters (Å, degrees): 3.3762 5.9424 5.9253 109.19 90.00 90.00
Last column: nearest neighbours and their distance in Å.
Element x y z (fractional)
C 0.0000 0.7298 0.2348  2 Ta 2.32, 3 U 2.40-2.50, 1 Pu 2.45
C 0.0000 0.2702 0.7652  2 Ta 2.32, 3 U 2.40-2.50, 1 Pu 2.45
C 0.5000 0.7273 0.7572  1 Ta 2.27, 2 U 2.38, 2 Pu 2.45
C 0.5000 0.2727 0.2428  1 Ta 2.27, 2 U 2.38, 2 Pu 2.45
Ta 0.5000 0.5000 0.0000  6 C 2.27-2.32
U 0.5000 0.0000 0.5000  6 C 2.50-2.56
U 0.0000 0.5000 0.5000  6 C 2.38-2.40
Pu 0.0000 0.0000 0.0000  6 C 2.45

Computed properties:
- magnetization (μB per formula unit) = 4.57
- space-group type = P2/m, No. 10
- density of states at the Fermi level (states/eV per atom) = 1.23
- uncorrected energy (eV/atom) = -10.956

[9]
Material: AcMgAlCd
Method: DFT, GGA-PBE
State: optimized geometry

Lattice parameters (Å, degrees): 5.3429 5.3429 5.3429 60.00 60.00 60.00
Last column: nearest neighbours and their distance in Å.
Element x y z (fractional)
Al 0.2500 0.2500 0.2500  4 Mg 3.27, 4 Ac 3.27
Ac 0.5000 0.5000 0.5000  4 Al 3.27, 4 Cd 3.27
Cd 0.7500 0.7500 0.7500  4 Ac 3.27, 4 Mg 3.27
Mg 0.0000 0.0000 0.0000  4 Cd 3.27, 4 Al 3.27

Computed properties:
- magnetization (μB per formula unit) = 0.00
- space-group type = F-43m, No. 216
- density of states at the Fermi level (states/eV per atom) = 0.37
- uncorrected energy (eV/atom) = -2.782

[10]
Material: CaSmCo
Method: DFT, GGA-PBE
State: optimized geometry

Lattice parameters (Å, degrees): 3.4445 3.4445 6.9649 104.32 104.32 90.00
Last column: nearest neighbours and their distance in Å.
Element x y z (fractional)
Co 0.6760 0.6760 0.3520  4 Sm 2.84, 4 Ca 3.05
Sm 0.2883 0.2883 0.5766  4 Co 2.84
Ca 0.0357 0.0357 0.0714  4 Co 3.05, 1 Sm 3.30

Computed properties:
- magnetization (μB per formula unit) = 0.30
- space-group type = I4mm, No. 107
- density of states at the Fermi level (states/eV per atom) = 0.55
- uncorrected energy (eV/atom) = -4.547

> Look up the magnetization of the third one.

3.60 μB per formula unit